## MnRuPt (PBE)

Data for a relaxed MnRuPt crystal.

Lattice parameters (Å, degrees): 5.9795 5.9795 2.6886 77.01 77.01 25.98
Closest atoms and distances in Å follow each position.
Element x y z (fractional)
Mn: 0.0062 0.0062 0.9938  4 Ru 2.54, 4 Pt 2.68, 4 Mn 2.69
Ru: 0.6548 0.6548 0.3452  4 Mn 2.54, 4 Ru 2.69, 4 Pt 2.82
Pt: 0.3390 0.3390 0.6610  4 Mn 2.68, 4 Pt 2.69, 4 Ru 2.82

Results
calculated volume: 13.7 Å³/atom
energy above the lowest structure with this stoichiometry: 0.000 eV/atom
total moment: 1.154 μB/f.u.
formation energy from the elements: -62 meV per atom
space group: I4mm (107)
total DFT energy (no corrections): -8.2239 eV per atom

## Ba3Cu2BiO6 (PBE)

Data for a relaxed Ba3Cu2BiO6 crystal.

Lattice parameters (Å, degrees): 6.2161 6.2161 6.8965 90.00 90.00 120.00
Closest atoms and distances in Å follow each position.
Element x y z (fractional)
Cu: 0.3333 0.6667 0.1918  3 O 1.94
Cu: 0.6667 0.3333 0.8082  3 O 1.94
Ba: 0.6667 0.3333 0.3566  9 O 2.94-3.13, 1 Cu 3.11
Ba: 0.0000 0.0000 0.0000  6 O 2.77
Ba: 0.3333 0.6667 0.6434  9 O 2.94-3.13, 1 Cu 3.11
O: 0.8318 0.6635 0.6967  1 Cu 1.94
O: 0.6635 0.8318 0.3033  1 Cu 1.94
O: 0.1682 0.8318 0.3033  1 Cu 1.94
O: 0.8318 0.1682 0.6967  1 Cu 1.94
O: 0.3365 0.1682 0.6967  1 Cu 1.94
O: 0.1682 0.3365 0.3033  1 Cu 1.94
Bi: 0.0000 0.0000 0.5000  6 O 2.26

Results
calculated volume: 19.2 Å³/atom
total moment: 0.000 μB/f.u.
space group: P-3m1 (164)
total DFT energy (no corrections): -5.5064 eV per atom
formation energy from raw total energies: -1.54 eV/atom

## Pm2GaPb (PBE)

Data for a relaxed Pm2GaPb crystal.

Lattice parameters (Å, degrees): 3.8205 3.8205 9.6329 78.56 78.56 60.00
Closest atoms and distances in Å follow each position.
Element x y z (fractional)
Pb: 0.5000 0.5000 0.5000  6 Pm 3.41
Pm: 0.2591 0.2591 0.2228  3 Ga 3.04
Pm: 0.7409 0.7409 0.7772  3 Ga 3.04
Ga: 0.0000 0.0000 0.0000  6 Pm 3.04

Results
calculated volume: 29.6 Å³/atom
total moment: 0.000 μB/f.u.
formation energy from the elements: -396 meV per atom
space group: R-3m (166)
total DFT energy (no corrections): -4.4553 eV per atom

## Ge2Pd4Se (PBE)

Data for a relaxed Ge2Pd4Se crystal.

Lattice parameters (Å, degrees): 4.8108 4.8108 7.1087 70.22 70.22 90.00
Closest atoms and distances in Å follow each position.
Element x y z (fractional)
Se: 0.0000 0.0000 0.0000  6 Pd 2.41-2.47
Pd: 0.5000 0.0000 0.0000  2 Se 2.41
Pd: 0.1976 0.1976 0.6047  1 Ge 2.36, 1 Se 2.47
Pd: 0.8024 0.8024 0.3953  1 Ge 2.36, 1 Se 2.47
Pd: 0.0000 0.5000 0.0000  2 Se 2.41
Ge: 0.6132 0.6132 0.7736  1 Pd 2.36
Ge: 0.3868 0.3868 0.2264  1 Pd 2.36

Results
calculated volume: 20.6 Å³/atom
energy above the lowest structure with this stoichiometry: 0.508 eV/atom
total moment: 0.000 μB/f.u.
space group: I4/mmm (139)
total DFT energy (no corrections): -4.6361 eV per atom
formation energy from raw total energies: 0.15 eV/atom

## AsBr2Cl (PBE)

Data for a relaxed AsBr2Cl crystal.

Lattice parameters (Å, degrees): 3.4707 3.4707 7.9094 90.00 90.00 90.00
Closest atoms and distances in Å follow each position.
Element x y z (fractional)
Br: 0.0000 0.0000 0.5429  4 As 2.95, 1 Br 3.28
Br: 0.0000 0.0000 0.9571  4 As 2.95, 1 Br 3.28
As: 0.5000 0.5000 0.7500  8 Br 2.95
Cl: 0.5000 0.5000 0.2500  8 Br 3.37, 4 Cl 3.47

Results
calculated volume: 23.8 Å³/atom
energy above the lowest structure with this stoichiometry: 0.835 eV/atom
total moment: 0.284 μB/f.u.
space group: P4/mmm (123)
total DFT energy (no corrections): -2.1539 eV per atom
formation energy from raw total energies: 0.31 eV/atom

## BeNiHgN2 (PBE)

Data for a relaxed BeNiHgN2 crystal.

Lattice parameters (Å, degrees): 4.1166 4.8606 4.1166 90.00 90.00 90.00
Closest atoms and distances in Å follow each position.
Element x y z (fractional)
N: 0.0000 0.0000 0.5000  2 Hg 2.06
N: 0.5000 0.0000 0.0000  2 Hg 2.06
Hg: 0.0000 0.0000 0.0000  4 N 2.06
Ni: 0.0000 0.5000 0.0000  2 Hg 2.43
Be: 0.5000 0.5000 0.5000  4 Ni 2.91, 8 N 3.18

Results
calculated volume: 16.5 Å³/atom
total moment: 1.135 μB/f.u.
space group: P4/mmm (123)
total DFT energy (no corrections): -2.7645 eV per atom
formation energy from raw total energies: 2.53 eV/atom

## TaZn2Pd2 (PBE)

Data for a relaxed TaZn2Pd2 crystal.

Lattice parameters (Å, degrees): 7.4108 7.4108 2.8295 90.00 90.00 90.00
Closest atoms and distances in Å follow each position.
Element x y z (fractional)
Zn: 0.3374 0.1626 0.5000  6 Pd 2.54-2.63, 2 Zn 2.83
Zn: 0.1626 0.6626 0.5000  6 Pd 2.54-2.63, 2 Zn 2.83
Zn: 0.6626 0.8374 0.5000  6 Pd 2.54-2.63, 2 Zn 2.83
Zn: 0.8374 0.3374 0.5000  6 Pd 2.54-2.63, 2 Zn 2.83
Pd: 0.8640 0.6360 0.0000  6 Zn 2.54-2.63, 2 Pd 2.83
Pd: 0.6360 0.1360 0.0000  6 Zn 2.54-2.63, 2 Pd 2.83
Pd: 0.3640 0.8640 0.0000  6 Zn 2.54-2.63, 2 Pd 2.83
Pd: 0.1360 0.3640 0.0000  6 Zn 2.54-2.63, 2 Pd 2.83
Ta: 0.5000 0.5000 0.0000  2 Ta 2.83, 4 Pd 2.88, 8 Zn 3.12
Ta: 0.0000 0.0000 0.0000  2 Ta 2.83, 4 Pd 2.88, 8 Zn 3.12

Results
calculated volume: 15.5 Å³/atom
energy above the lowest structure with this stoichiometry: 0.054 eV/atom
total moment: 0.000 μB/f.u.
formation energy from the elements: -190 meV per atom
space group: P4/mbm (127)
total DFT energy (no corrections): -5.1470 eV per atom

## DyYRuPb (PBE)

Data for a relaxed DyYRuPb crystal.

Lattice parameters (Å, degrees): 5.1227 5.1227 5.1227 60.00 60.00 60.00
Closest atoms and distances in Å follow each position.
Element x y z (fractional)
Dy: 0.0000 0.0000 0.0000  4 Ru 3.14, 4 Pb 3.14
Pb: 0.2500 0.2500 0.2500  4 Dy 3.14, 4 Y 3.14
Ru: 0.7500 0.7500 0.7500  4 Y 3.14, 4 Dy 3.14
Y: 0.5000 0.5000 0.5000  4 Pb 3.14, 4 Ru 3.14

Results
calculated volume: 23.8 Å³/atom
energy above the lowest structure with this stoichiometry: 0.190 eV/atom
total moment: 0.000 μB/f.u.
formation energy from the elements: -276 meV per atom
space group: F-43m (216)
total DFT energy (no corrections): -6.2883 eV per atom

Look up the total DFT energy (no corrections) of the fourth one.
-4.6361 eV per atom

Which value of total moment does entry 7 give?
0.000 μB/f.u.

total moment of number 1 (MnRuPt)?
1.154 μB/f.u.

What is the calculated volume in the seventh record?
15.5 Å³/atom